No. 1
## NpCu6Si2 (PBE)

Data for a relaxed NpCu6Si2 crystal.

The calculation puts the raw formation energy at -12 kJ per mole of atoms.

The structure belongs to space group P4/mmm (No. 123); the cell edges are 3.9441, 3.9441 and 8.1582 Å and the angles 90.00°, 90.00° and 90.00°. The asymmetric unit holds Np at (0.0000, 0.0000, 0.0000), Cu at (0.0000, 0.0000, 0.5000), Cu at (0.0000, 0.5000, 0.3048), Cu at (0.5000, 0.5000, 0.5000) and Si at (0.5000, 0.5000, 0.1441).


No. 2
## Sm2GaSiPt6 (PBE)

Data for a relaxed Sm2GaSiPt6 crystal.

The calculation puts the raw formation energy at -92 kJ per mole of atoms.

The structure belongs to space group Pmmn (No. 59, origin choice 2); the cell edges are 5.5696, 8.6766 and 8.1910 Å and the angles 90.00°, 90.00° and 90.00°. The asymmetric unit holds Sm at (0.2500, 0.0051, 0.2298), Ga at (0.2500, 0.7500, 0.7714), Si at (0.2500, 0.2500, 0.7447), Pt at (0.9997, 0.2500, 0.9777), Pt at (0.0011, 0.7500, 0.5040) and Pt at (0.2500, 0.0013, 0.6120).


No. 3
## HfSe2BrO (PBE)

Data for a relaxed HfSe2BrO crystal.

The energy above the most stable polymorph in this dataset comes out at 0.0 kJ per mole of atoms. The calculation puts the raw formation energy at -4 kJ per mole of atoms.

The structure belongs to space group P4/mmm (No. 123); the cell edges are 5.1632, 5.1632 and 5.2726 Å and the angles 90.00°, 90.00° and 90.00°. The asymmetric unit holds Hf at (0.0000, 0.0000, 0.0000), Se at (0.0000, 0.5000, 0.0000), Br at (0.0000, 0.0000, 0.5000) and O at (0.5000, 0.5000, 0.5000).


No. 4
## LiThHg (PBE)

Data for a relaxed LiThHg crystal.

For the energy of formation, the calculation gives -92 meV per atom. The energy above the most stable polymorph in this dataset comes out at 6.7 kJ per mole of atoms.

The structure belongs to space group I4mm (No. 107); the cell edges are 3.4178, 3.4178 and 12.0926 Å and the angles 90.00°, 90.00° and 90.00°. The asymmetric unit holds Li at (0.0000, 0.0000, 0.0000), Th at (0.0000, 0.0000, 0.6974) and Hg at (0.0000, 0.0000, 0.3918).


No. 5
## CaSc2Pb (PBE)

Data for a relaxed CaSc2Pb crystal.

For the energy of formation, the calculation gives -35 meV per atom.

The structure belongs to space group F-43m (No. 216); the cell edges are 7.5051, 7.5051 and 7.5051 Å and the angles 90.00°, 90.00° and 90.00°. The asymmetric unit holds Ca at (0.0000, 0.0000, 0.0000), Sc at (0.0000, 0.0000, 0.5000), Sc at (0.2500, 0.2500, 0.7500) and Pb at (0.2500, 0.2500, 0.2500).


No. 6
## TiAsSBr2 (PBE)

Data for a relaxed TiAsSBr2 crystal.

The energy above the most stable polymorph in this dataset comes out at 66.2 kJ per mole of atoms. The calculation puts the raw formation energy at 72 kJ per mole of atoms.

The structure belongs to space group P4/mmm (No. 123); the cell edges are 5.0238, 5.0238 and 4.9362 Å and the angles 90.00°, 90.00° and 90.00°. The asymmetric unit holds Ti at (0.0000, 0.0000, 0.0000), As at (0.5000, 0.5000, 0.0000), S at (0.5000, 0.5000, 0.5000) and Br at (0.0000, 0.5000, 0.5000).


No. 7
## LiSnCl (PBE)

Data for a relaxed LiSnCl crystal.

The calculation puts the raw formation energy at -100 kJ per mole of atoms.

The structure belongs to space group C2/m (No. 12); the cell edges are 6.6195, 3.6908 and 13.8119 Å and the angles 90.00°, 96.08° and 90.00°. The asymmetric unit holds Li at (0.1791, 0.0000, 0.0714), Sn at (0.1435, 0.5000, 0.4118) and Cl at (0.1399, 0.0000, 0.8899).


No. 8
## LuScCuOs (PBE)

Data for a relaxed LuScCuOs crystal.

For the energy of formation, the calculation gives -374 meV per atom.

The structure belongs to space group F-43m (No. 216); the cell edges are 6.5956, 6.5956 and 6.5956 Å and the angles 90.00°, 90.00° and 90.00°. The asymmetric unit holds Lu at (0.0000, 0.0000, 0.0000), Sc at (0.0000, 0.0000, 0.5000), Cu at (0.2500, 0.2500, 0.2500) and Os at (0.2500, 0.2500, 0.7500).


No. 9
## NdGa3Cu (PBE)

Data for a relaxed NdGa3Cu crystal.

For the energy of formation, the calculation gives -504 meV per atom. The energy above the most stable polymorph in this dataset comes out at 2.5 kJ per mole of atoms.

The structure belongs to space group I-4m2 (No. 119); the cell edges are 4.1922, 4.1922 and 10.6902 Å and the angles 90.00°, 90.00° and 90.00°. The asymmetric unit holds Nd at (0.0000, 0.0000, 0.0000), Ga at (0.0000, 0.0000, 0.3834), Ga at (0.0000, 0.5000, 0.2500) and Cu at (0.0000, 0.5000, 0.7500).


No. 10
## Sr2Br3 (PBE)

Data for a relaxed Sr2Br3 crystal.

The calculation puts the raw formation energy at -169 kJ per mole of atoms.

The structure belongs to space group Fdd2 (No. 43); the cell edges are 14.8572, 17.7360 and 5.8335 Å and the angles 90.00°, 90.00° and 90.00°. The asymmetric unit holds Sr at (0.0785, 0.3371, 0.0000), Br at (0.0000, 0.0000, 0.5361) and Br at (0.0083, 0.1685, 0.0057).


No. 11
## K2NaInBr4 (PBE)

Data for a relaxed K2NaInBr4 crystal.

The calculation puts the raw formation energy at -136 kJ per mole of atoms.

The structure belongs to space group P2/m (No. 10); the cell edges are 7.9756, 4.6313 and 8.0772 Å and the angles 90.00°, 109.31° and 90.00°. The asymmetric unit holds K at (0.0000, 0.0000, 0.0000), K at (0.0000, 0.5000, 0.5000), Na at (0.5000, 0.0000, 0.5000), In at (0.5000, 0.5000, 0.0000), Br at (0.2589, 0.0000, 0.7363) and Br at (0.2653, 0.5000, 0.2670).


No. 12
## Er4Pt3 (PBE)

Data for a relaxed Er4Pt3 crystal.

For the energy of formation, the calculation gives -1160 meV per atom.

The structure belongs to space group R-3 (No. 148, hexagonal axes); the cell edges are 12.0069, 12.0069 and 7.6934 Å and the angles 90.00°, 90.00° and 120.00°. The asymmetric unit holds Er at (0.0000, 0.0000, 0.0000), Er at (0.0000, 0.0000, 0.5000), Er at (0.0290, 0.5793, 0.2994) and Pt at (0.0405, 0.8295, 0.2589).